# ZrVZn2 GGA-PBE relaxed
# **Spin magnetization**: 0.0 μB/cell
# **VASP energy**: -4.7772 eV/atom
data_ZrVZn2
_space_group_name_H-M_alt 'I -4 2 d'
_space_group_IT_number 122
_space_group_name_Hall 'I -4 2bw'
_cell_length_a 7.349
_cell_length_b 7.349
_cell_length_c 5.109
_cell_angle_alpha 90.00
_cell_angle_beta 90.00
_cell_angle_gamma 90.00
loop_
_atom_site_label
_atom_site_type_symbol
_atom_site_fract_x
_atom_site_fract_y
_atom_site_fract_z
_atom_site_occupancy
Zr1 Zr 0.000 0.000 0.000 1
V1 V 0.000 0.000 0.500 1
Zn1 Zn 0.222 0.750 0.625 1


# Ce4EuY GGA-PBE relaxed
# **Spin magnetization**: 45.9 μB/cell
# **VASP energy**: -6.5098 eV/atom
data_Ce4EuY
_space_group_name_H-M_alt 'F -4 3 m'
_space_group_IT_number 216
_space_group_name_Hall 'F -4 2 3'
_cell_length_a 9.120
_cell_length_b 9.120
_cell_length_c 9.120
_cell_angle_alpha 90.00
_cell_angle_beta 90.00
_cell_angle_gamma 90.00
loop_
_atom_site_label
_atom_site_type_symbol
_atom_site_fract_x
_atom_site_fract_y
_atom_site_fract_z
_atom_site_occupancy
Ce1 Ce 0.116 0.116 0.384 1
Eu1 Eu 0.000 0.000 0.000 1
Y1 Y 0.250 0.250 0.750 1


# MnAlCr4 GGA-PBE relaxed
# **Spin magnetization**: 5.7 μB/cell
# **VASP energy**: -8.4793 eV/atom
data_MnAlCr4
_space_group_name_H-M_alt 'F -4 3 m'
_space_group_IT_number 216
_space_group_name_Hall 'F -4 2 3'
_cell_length_a 6.683
_cell_length_b 6.683
_cell_length_c 6.683
_cell_angle_alpha 90.00
_cell_angle_beta 90.00
_cell_angle_gamma 90.00
loop_
_atom_site_label
_atom_site_type_symbol
_atom_site_fract_x
_atom_site_fract_y
_atom_site_fract_z
_atom_site_occupancy
Mn1 Mn 0.000 0.000 0.000 1
Al1 Al 0.250 0.250 0.750 1
Cr1 Cr 0.124 0.124 0.376 1